Material: Tl2CrTcC
Method: DFT, PBE
State: optimized geometry

The structure in extended XYZ format:
```
5
Lattice="5.2704 0.0000 0.0000 0.0000 5.2704 0.0000 0.0000 0.0000 3.6634" Properties=species:S:1:pos:R:3 pbc="T T T"
Tl 0.0000 2.6352 0.0000
Tl 2.6352 0.0000 0.0000
Cr 0.0000 0.0000 0.0000
Tc 2.6352 2.6352 1.8317
C 0.0000 0.0000 1.8317
```

Computed properties:
DFT formation energy in meV per atom: 1460
Calculated total energy in eV per atom: -5.329